Density functional theory data (GGA-PBE) for a relaxed Pr12NdSc3 crystal.

Geometry as POSCAR:
```
Pr12NdSc3
1.0
-3.1215 2.0767 3.4929
-0.0130 -4.4096 2.6101
16.2641 6.3283 10.7725
Pr Nd Sc
12 1 3
Direct
0.5000 0.0000 0.3769
0.0000 0.5000 0.8696
0.5000 0.5000 0.0000
0.5000 0.0000 0.8696
0.5000 0.5000 0.5000
0.5000 0.5000 0.7459
0.0000 0.5000 0.3769
0.5000 0.0000 0.1304
0.0000 0.5000 0.6231
0.0000 0.5000 0.1304
0.5000 0.0000 0.6231
0.5000 0.5000 0.2541
0.0000 0.0000 0.0000
0.0000 0.0000 0.5000
0.0000 0.0000 0.2535
0.0000 0.0000 0.7465
```

Calculated total energy, hartree per atom: -0.185
SG: P4/mmm, No. 123
Magnetization, μB/f.u.: 0.00
Calculated volume, A^3/atom: 33.66
ΔE_f, meV/atom: 33.9
Fermi-level density of states, states/eV per atom: 1.40

Density functional theory data (GGA-PBE) for a relaxed K2BeNi crystal.

Geometry as POSCAR:
```
K2BeNi
1.0
-10.9078 -1.3551 -1.7777
-10.0020 -4.3487 -2.2418
-10.6073 -3.3158 0.6846
K Be Ni
2 1 1
Direct
0.9936 0.9936 0.9936
0.5064 0.5064 0.5064
0.7500 0.7500 0.7500
0.2500 0.2500 0.2500
```

Calculated total energy, hartree per atom: -0.064
SG: R-3m, No. 166
Magnetization, μB/f.u.: 0.00
Calculated volume, A^3/atom: 23.77
ΔE_f, meV/atom: 1195.5
Fermi-level density of states, states/eV per atom: 0.57

Density functional theory data (GGA-PBE) for a relaxed TeIrAu3 crystal.

Geometry as POSCAR:
```
TeIrAu3
1.0
5.0334 0.0000 0.0000
0.0000 5.0334 0.0000
0.0000 0.0000 5.0334
Ir Au Te
1 3 1
Direct
0.0000 0.0000 0.0000
0.0000 0.0000 0.5000
0.0000 0.5000 0.0000
0.5000 0.0000 0.0000
0.5000 0.5000 0.5000
```

Calculated total energy, hartree per atom: -0.123
SG: Pm-3m, No. 221
Magnetization, μB/f.u.: 0.00
Calculated volume, A^3/atom: 25.50
Uncorrected formation energy, eV/atom: 1.008
Polymorph energy (0 for the lowest one), meV/atom: 0.0
Fermi-level density of states, states/eV per atom: 1.42

Density functional theory data (GGA-PBE) for a relaxed Li3CrH crystal.

Geometry as POSCAR:
```
Li3CrH
1.0
-1.0146 -2.8870 4.2637
0.2258 -4.3664 -2.9028
5.1442 -0.3777 0.9683
Cr Li H
1 3 1
Direct
0.0000 0.0000 0.0000
0.5000 0.0000 0.0000
0.0000 0.0000 0.5000
0.0000 0.5000 0.0000
0.5000 0.5000 0.5000
```

Calculated total energy, hartree per atom: -0.097
SG: Pm-3m, No. 221
Magnetization, μB/f.u.: 6.00
Calculated volume, A^3/atom: 28.91
Polymorph energy (0 for the lowest one), meV/atom: 839.9
Fermi-level density of states, states/eV per atom: 0.56

Density functional theory data (GGA-PBE) for a relaxed NbCoBr2 crystal.

Geometry as POSCAR:
```
NbCoBr2
1.0
5.8805 0.0000 0.0000
0.0000 5.8805 0.0000
2.9403 2.9403 5.0468
Br Co Nb
4 2 2
Direct
0.3750 0.4113 0.7500
0.1613 0.6250 0.2500
0.5887 0.1250 0.2500
0.8750 0.8387 0.7500
0.2500 0.7500 0.5000
0.5000 0.5000 0.0000
0.0000 0.0000 0.0000
0.7500 0.2500 0.5000
```

Calculated total energy, hartree per atom: -0.165
SG: I-42d, No. 122
Magnetization, μB/f.u.: 0.00
Calculated volume, A^3/atom: 21.81
Uncorrected formation energy, eV/atom: 0.637
Polymorph energy (0 for the lowest one), meV/atom: 354.4
Fermi-level density of states, states/eV per atom: 0.71

Density functional theory data (GGA-PBE) for a relaxed Ru5Rh crystal.

Geometry as POSCAR:
```
Ru5Rh
1.0
-2.8590 0.9578 -4.1212
-4.5034 -0.3529 -2.3812
4.5009 4.9337 7.9699
Rh Ru
1 5
Direct
0.0000 0.0000 0.9998
0.1085 0.1085 0.7210
0.3309 0.3309 0.6634
0.4457 0.4457 0.3900
0.6686 0.6686 0.3363
0.7796 0.7796 0.0562
```

Calculated total energy, hartree per atom: -0.329
SG: Cm, No. 8
Magnetization, μB/f.u.: 0.00
Calculated volume, A^3/atom: 13.93
Polymorph energy (0 for the lowest one), meV/atom: 0.0
ΔE_f, meV/atom: 4.5
Fermi-level density of states, states/eV per atom: 1.01

Density functional theory data (GGA-PBE) for a relaxed Pr6Mg5In crystal.

Geometry as POSCAR:
```
Pr6Mg5In
1.0
-4.5467 -3.0270 -0.8354
4.3608 -6.4874 -0.2197
-3.1872 -2.4056 7.7887
Pr Mg In
6 5 1
Direct
0.8336 0.2499 0.3328
0.1664 0.2499 0.6672
0.5000 0.2485 0.0000
0.8336 0.7501 0.3328
0.1664 0.7501 0.6672
0.5000 0.7515 0.0000
0.3312 0.0000 0.3377
0.6667 0.5000 0.6666
0.3333 0.5000 0.3334
0.6688 0.0000 0.6623
0.0000 0.5000 0.0000
0.0000 0.0000 0.0000
```

Calculated total energy, hartree per atom: -0.127
SG: Cmmm, No. 65
Magnetization, μB/f.u.: 0.00
Calculated volume, A^3/atom: 29.91
ΔE_f, meV/atom: -184.7
Fermi-level density of states, states/eV per atom: 1.18

Density functional theory data (GGA-PBE) for a relaxed CrSbIr2 crystal.

Geometry as POSCAR:
```
CrSbIr2
1.0
-2.4635 2.5965 1.2498
-1.7085 0.1596 -3.6992
-2.5861 -2.9670 1.0665
Cr Ir Sb
1 2 1
Direct
0.5000 0.0000 0.5000
0.0000 0.0000 0.0000
0.0000 0.5000 0.5000
0.5000 0.5000 0.0000
```

Calculated total energy, hartree per atom: -0.290
SG: P4/mmm, No. 123
Magnetization, μB/f.u.: 3.11
Calculated volume, A^3/atom: 15.76
Uncorrected formation energy, eV/atom: -0.028
Fermi-level density of states, states/eV per atom: 0.35

Density functional theory data (GGA-PBE) for a relaxed TlCoSe2 crystal.

Geometry as POSCAR:
```
TlCoSe2
1.0
-2.2581 -0.4721 4.2993
-3.0236 -0.6519 -3.7735
0.8445 -3.9645 0.0082
Tl Co Se
1 1 2
Direct
0.5000 0.0000 0.5000
0.0000 0.5000 0.5000
0.0000 0.0000 0.0000
0.5000 0.5000 0.0000
```

Calculated total energy, hartree per atom: -0.134
SG: Cmmm, No. 65
Magnetization, μB/f.u.: 2.29
Calculated volume, A^3/atom: 22.30
Uncorrected formation energy, eV/atom: 0.460
Fermi-level density of states, states/eV per atom: 1.30

Density functional theory data (GGA-PBE) for a relaxed LaSnRh crystal.

Geometry as POSCAR:
```
LaSnRh
1.0
-7.3179 -1.7848 0.0897
4.3918 -2.3933 -5.6329
0.8898 -3.5380 2.1970
La Rh Sn
3 3 3
Direct
0.0000 0.5843 0.0000
0.4157 0.4157 0.0000
0.5843 0.0000 0.0000
0.6667 0.3333 0.5000
0.3333 0.6667 0.5000
0.0000 0.0000 0.0000
0.7541 0.7541 0.5000
0.2459 0.0000 0.5000
0.0000 0.2459 0.5000
```

Calculated total energy, hartree per atom: -0.233
SG: P-62m, No. 189
Magnetization, μB/f.u.: 0.00
Calculated volume, A^3/atom: 23.25
ΔE_f, meV/atom: -899.7
Fermi-level density of states, states/eV per atom: 0.77

Density functional theory data (GGA-PBE) for a relaxed PrSiAg crystal.

Geometry as POSCAR:
```
PrSiAg
1.0
4.3831 0.0000 0.0000
0.0000 7.3138 0.0427
0.0000 0.0521 12.4328
Si Ag Pr
6 6 6
Direct
0.7500 0.7702 0.5761
0.7500 0.2414 0.0897
0.2500 0.7586 0.9103
0.2500 0.2298 0.4239
0.7500 0.2714 0.7504
0.2500 0.7286 0.2496
0.7500 0.0069 0.9111
0.7500 0.6484 0.7967
0.2500 0.9931 0.0889
0.2500 0.8463 0.4584
0.7500 0.1537 0.5416
0.2500 0.3516 0.2033
0.7500 0.6599 0.0792
0.7500 0.5168 0.3753
0.2500 0.3401 0.9208
0.2500 0.4832 0.6247
0.2500 0.9829 0.7040
0.7500 0.0171 0.2960
```

Calculated total energy, hartree per atom: -0.179
SG: P2_1/m, No. 11
Magnetization, μB/f.u.: 0.00
Calculated volume, A^3/atom: 22.14
Uncorrected formation energy, eV/atom: -0.524
Fermi-level density of states, states/eV per atom: 0.22

Density functional theory data (GGA-PBE) for a relaxed TmZnCuRh crystal.

Geometry as POSCAR:
```
TmZnCuRh
1.0
4.5481 0.0000 0.0000
2.2741 3.9388 0.0000
2.2741 1.3129 3.7135
Zn Cu Tm Rh
1 1 1 1
Direct
0.2500 0.2500 0.2500
0.0000 0.0000 0.0000
0.7500 0.7500 0.7500
0.5000 0.5000 0.5000
```

Calculated total energy, hartree per atom: -0.174
SG: F-43m, No. 216
Magnetization, μB/f.u.: 0.00
Calculated volume, A^3/atom: 16.63
ΔE_f, meV/atom: -436.2
Fermi-level density of states, states/eV per atom: 0.53